Here is ZrPaNb after structural relaxation from OQMD. Energies are from PBE.

Structure (POSCAR):
```
ZrPaNb
1.0
0.000 3.362 3.362
3.362 0.000 3.362
3.362 3.362 0.000
Zr Pa Nb
1 1 1
Direct
0.000 0.000 0.000
0.500 0.500 0.500
0.750 0.750 0.750
```

The energy of formation from the pure elements is 0.50 eV per atom.

Here is NbPb2 after structural relaxation from OQMD. Energies are from PBE.

Structure (POSCAR):
```
NbPb2
1.0
0.000 4.322 4.322
4.322 0.000 4.322
4.322 4.322 0.000
Nb Pb
2 4
Direct
0.125 0.125 0.125
0.875 0.875 0.875
0.000 0.500 0.500
0.500 0.000 0.500
0.500 0.500 0.000
0.500 0.500 0.500
```

The value obtained for the total DFT energy (no corrections) is -4.68 eV per atom.

Here is Nb2Pb after structural relaxation from OQMD. Energies are from PBE.

Structure (POSCAR):
```
Nb2Pb
1.0
0.000 3.986 3.986
3.986 0.000 3.986
3.986 3.986 0.000
Nb Pb
4 2
Direct
0.000 0.000 0.000
0.000 0.000 0.500
0.000 0.500 0.000
0.500 0.000 0.000
0.375 0.375 0.375
0.625 0.625 0.625
```

The value obtained for the total DFT energy (no corrections) is -7.58 eV per atom.

Here is NbPb2 after structural relaxation from OQMD. Energies are from PBE.

Structure (POSCAR):
```
NbPb2
1.0
0.000 3.477 3.477
3.477 0.000 3.477
3.477 3.477 0.000
Nb Pb
1 2
Direct
0.000 0.000 0.000
0.250 0.250 0.250
0.750 0.750 0.750
```

The value obtained for the total DFT energy (no corrections) is -5.13 eV per atom.

Here is NbPb3 after structural relaxation from OQMD. Energies are from PBE.

Structure (POSCAR):
```
NbPb3
1.0
-2.252 2.252 5.169
2.252 -2.252 5.169
2.252 2.252 -5.169
Nb Pb
1 3
Direct
0.000 0.000 0.000
0.250 0.750 0.500
0.500 0.500 0.000
0.750 0.250 0.500
```

The value obtained for the total DFT energy (no corrections) is -4.77 eV per atom.

Here is Nb2Pb after structural relaxation from OQMD. Energies are from PBE.

Structure (POSCAR):
```
Nb2Pb
1.0
0.000 3.277 3.277
3.277 0.000 3.277
3.277 3.277 0.000
Nb Pb
2 1
Direct
0.250 0.250 0.250
0.750 0.750 0.750
0.000 0.000 0.000
```

The value obtained for the total DFT energy (no corrections) is -7.03 eV per atom.

Here is Nb2Pb after structural relaxation from OQMD. Energies are from PBE.

Structure (POSCAR):
```
Nb2Pb
1.0
0.000 6.382 6.382
6.382 0.000 6.382
6.382 6.382 0.000
Nb Pb
4 2
Direct
0.000 0.000 0.000
0.000 0.000 0.500
0.000 0.500 0.000
0.500 0.000 0.000
0.125 0.125 0.125
0.875 0.875 0.875
```

The value obtained for the total DFT energy (no corrections) is -4.57 eV per atom.

Here is NbPb2 after structural relaxation from OQMD. Energies are from PBE.

Structure (POSCAR):
```
NbPb2
1.0
6.415 0.000 0.000
-3.208 5.556 0.000
0.000 0.000 9.950
Nb Pb
4 8
Direct
0.333 0.667 0.135
0.333 0.667 0.365
0.667 0.333 0.635
0.667 0.333 0.865
0.000 0.000 0.000
0.000 0.000 0.500
0.174 0.348 0.750
0.174 0.826 0.750
0.348 0.174 0.250
0.652 0.826 0.750
0.826 0.174 0.250
0.826 0.652 0.250
```

The value obtained for the total DFT energy (no corrections) is -4.97 eV per atom.

Here is NbPb2 after structural relaxation from OQMD. Energies are from PBE.

Structure (POSCAR):
```
NbPb2
1.0
0.000 6.223 6.223
6.223 0.000 6.223
6.223 6.223 0.000
Nb Pb
2 4
Direct
0.125 0.125 0.125
0.875 0.875 0.875
0.000 0.000 0.000
0.000 0.000 0.500
0.000 0.500 0.000
0.500 0.000 0.000
```

The value obtained for the total DFT energy (no corrections) is -4.48 eV per atom.

Here is NbPd2Pb after structural relaxation from OQMD. Energies are from PBE.

Structure (POSCAR):
```
NbPd2Pb
1.0
0.000 3.297 3.297
3.297 0.000 3.297
3.297 3.297 0.000
Nb Pd Pb
1 2 1
Direct
0.000 0.000 0.000
0.250 0.250 0.250
0.500 0.500 0.500
0.750 0.750 0.750
```

The value obtained for the total DFT energy (no corrections) is -6.07 eV per atom.

Here is Nb2PdPb after structural relaxation from OQMD. Energies are from PBE.

Structure (POSCAR):
```
Nb2PdPb
1.0
0.000 3.362 3.362
3.362 0.000 3.362
3.362 3.362 0.000
Nb Pd Pb
2 1 1
Direct
0.000 0.000 0.000
0.250 0.250 0.250
0.750 0.750 0.750
0.500 0.500 0.500
```

The value obtained for the total DFT energy (no corrections) is -7.00 eV per atom.

Here is NbPdPb2 after structural relaxation from OQMD. Energies are from PBE.

Structure (POSCAR):
```
NbPdPb2
1.0
0.000 3.553 3.553
3.553 0.000 3.553
3.553 3.553 0.000
Nb Pd Pb
1 1 2
Direct
0.000 0.000 0.000
0.250 0.250 0.250
0.500 0.500 0.500
0.750 0.750 0.750
```

The value obtained for the total DFT energy (no corrections) is -5.21 eV per atom.

Here is Nb2Pd2Pb3 after structural relaxation from OQMD. Energies are from PBE.

Structure (POSCAR):
```
Nb2Pd2Pb3
1.0
2.350 1.357 8.104
-2.350 1.357 8.104
0.000 -2.713 8.104
Nb Pd Pb
2 2 3
Direct
0.000 0.000 0.000
0.500 0.500 0.500
0.247 0.247 0.247
0.748 0.748 0.748
0.123 0.123 0.123
0.364 0.364 0.364
0.886 0.886 0.886
```

The value obtained for the total DFT energy (no corrections) is -5.51 eV per atom.

Here is Nb2Pt2Pb3 after structural relaxation from OQMD. Energies are from PBE.

Structure (POSCAR):
```
Nb2Pt2Pb3
1.0
2.341 1.352 8.117
-2.341 1.352 8.117
0.000 -2.704 8.117
Nb Pt Pb
2 2 3
Direct
0.000 0.000 0.000
0.499 0.499 0.499
0.243 0.243 0.243
0.746 0.746 0.746
0.385 0.385 0.385
0.622 0.622 0.622
0.863 0.863 0.863
```

The value obtained for the total DFT energy (no corrections) is -5.70 eV per atom.

Here is Nb2PtPb after structural relaxation from OQMD. Energies are from PBE.

Structure (POSCAR):
```
Nb2PtPb
1.0
0.000 3.361 3.361
3.361 0.000 3.361
3.361 3.361 0.000
Nb Pt Pb
2 1 1
Direct
0.000 0.000 0.000
0.250 0.250 0.250
0.750 0.750 0.750
0.500 0.500 0.500
```

The value obtained for the total DFT energy (no corrections) is -7.25 eV per atom.

Here is Nb4Pt5Pb5 after structural relaxation from OQMD. Energies are from PBE.

Structure (POSCAR):
```
Nb4Pt5Pb5
1.0
-5.022 5.022 3.185
5.022 -5.022 3.185
5.022 5.022 -3.185
Nb Pt Pb
4 5 5
Direct
0.057 0.156 0.704
0.453 0.353 0.296
0.647 0.943 0.100
0.844 0.547 0.900
0.000 0.000 0.000
0.186 0.576 0.828
0.424 0.251 0.609
0.642 0.814 0.391
0.749 0.358 0.172
0.153 0.462 0.145
0.317 0.008 0.855
0.538 0.683 0.691
0.750 0.250 0.500
0.992 0.847 0.309
```

The value obtained for the total DFT energy (no corrections) is -6.57 eV per atom.

Here is PuNbPb after structural relaxation from OQMD. Energies are from PBE.

Structure (POSCAR):
```
PuNbPb
1.0
0.000 3.400 3.400
3.400 0.000 3.400
3.400 3.400 0.000
Pu Nb Pb
1 1 1
Direct
0.000 0.000 0.000
0.250 0.250 0.250
0.750 0.750 0.750
```

The value obtained for the total DFT energy (no corrections) is -8.20 eV per atom.

Here is PuNbPb after structural relaxation from OQMD. Energies are from PBE.

Structure (POSCAR):
```
PuNbPb
1.0
0.000 3.414 3.414
3.414 0.000 3.414
3.414 3.414 0.000
Pu Nb Pb
1 1 1
Direct
0.000 0.000 0.000
0.750 0.750 0.750
0.500 0.500 0.500
```

The value obtained for the total DFT energy (no corrections) is -8.75 eV per atom.

Here is NbRe2Pb after structural relaxation from OQMD. Energies are from PBE.

Structure (POSCAR):
```
NbRe2Pb
1.0
0.000 3.275 3.275
3.275 0.000 3.275
3.275 3.275 0.000
Nb Re Pb
1 2 1
Direct
0.000 0.000 0.000
0.250 0.250 0.250
0.500 0.500 0.500
0.750 0.750 0.750
```

The value obtained for the total DFT energy (no corrections) is -8.90 eV per atom.

Here is NbPbS3 after structural relaxation from OQMD. Energies are from PBE.

Structure (POSCAR):
```
NbPbS3
1.0
6.205 0.000 0.000
0.000 11.605 0.000
-1.037 0.000 7.051
Nb Pb S
4 4 12
Direct
0.152 0.000 0.187
0.295 0.591 0.816
0.705 0.091 0.184
0.848 0.500 0.813
0.032 0.189 0.634
0.492 0.918 0.636
0.508 0.418 0.364
0.968 0.689 0.366
0.099 0.474 0.564
0.135 0.516 0.078
0.141 0.768 0.754
0.302 0.818 0.244
0.370 0.077 0.949
0.404 0.119 0.401
0.596 0.619 0.599
0.630 0.577 0.051
0.698 0.318 0.756
0.859 0.268 0.246
0.865 0.016 0.922
0.901 0.974 0.436
```

The value obtained for the total DFT energy (no corrections) is -5.91 eV per atom.

Here is NbPbS3 after structural relaxation from OQMD. Energies are from PBE.

Structure (POSCAR):
```
NbPbS3
1.0
8.694 0.000 0.000
0.000 3.565 0.000
0.000 0.000 14.302
Nb Pb S
4 4 12
Direct
0.141 0.250 0.046
0.359 0.750 0.546
0.641 0.250 0.454
0.859 0.750 0.954
0.005 0.250 0.669
0.495 0.750 0.169
0.505 0.250 0.831
0.995 0.750 0.331
0.030 0.250 0.887
0.174 0.250 0.494
0.238 0.750 0.705
0.262 0.250 0.205
0.326 0.750 0.994
0.470 0.750 0.387
0.530 0.250 0.613
0.674 0.250 0.006
0.738 0.750 0.795
0.762 0.250 0.295
0.826 0.750 0.506
0.970 0.750 0.113
```

The value obtained for the total DFT energy (no corrections) is -5.97 eV per atom.

Here is TaNbPb2S4 after structural relaxation from OQMD. Energies are from PBE.

Structure (POSCAR):
```
TaNbPb2S4
1.0
3.380 0.000 0.000
-1.690 2.927 0.000
0.000 0.000 17.920
Ta Nb Pb S
1 1 2 4
Direct
0.000 0.000 0.000
0.333 0.667 0.500
0.667 0.333 0.250
0.667 0.333 0.750
0.667 0.333 0.086
0.667 0.333 0.413
0.667 0.333 0.587
0.667 0.333 0.914
```

The value obtained for the total DFT energy (no corrections) is -6.61 eV per atom.

Here is NbSbPb after structural relaxation from OQMD. Energies are from PBE.

Structure (POSCAR):
```
NbSbPb
1.0
0.000 3.464 3.464
3.464 0.000 3.464
3.464 3.464 0.000
Nb Sb Pb
1 1 1
Direct
0.000 0.000 0.000
0.250 0.250 0.250
0.500 0.500 0.500
```

The value obtained for the total DFT energy (no corrections) is -5.24 eV per atom.

Here is ScNb2Pb2 after structural relaxation from OQMD. Energies are from PBE.

Structure (POSCAR):
```
ScNb2Pb2
1.0
-2.079 2.079 6.543
2.079 -2.079 6.543
2.079 2.079 -6.543
Sc Nb Pb
1 2 2
Direct
0.000 0.000 0.000
0.250 0.750 0.500
0.750 0.250 0.500
0.396 0.396 0.000
0.604 0.604 0.000
```

The value obtained for the total DFT energy (no corrections) is -6.53 eV per atom.

Here is ScNb2Pb after structural relaxation from OQMD. Energies are from PBE.

Structure (POSCAR):
```
ScNb2Pb
1.0
0.000 3.427 3.427
3.427 0.000 3.427
3.427 3.427 0.000
Sc Nb Pb
1 2 1
Direct
0.000 0.000 0.000
0.250 0.250 0.250
0.500 0.500 0.500
0.750 0.750 0.750
```

The value obtained for the total DFT energy (no corrections) is -7.49 eV per atom.

Here is ScNbPb after structural relaxation from OQMD. Energies are from PBE.

Structure (POSCAR):
```
ScNbPb
1.0
0.000 3.412 3.412
3.412 0.000 3.412
3.412 3.412 0.000
Sc Nb Pb
1 1 1
Direct
0.000 0.000 0.000
0.250 0.250 0.250
0.500 0.500 0.500
```

The value obtained for the total DFT energy (no corrections) is -6.09 eV per atom.

Here is ScNbPb2 after structural relaxation from OQMD. Energies are from PBE.

Structure (POSCAR):
```
ScNbPb2
1.0
0.000 3.673 3.673
3.673 0.000 3.673
3.673 3.673 0.000
Sc Nb Pb
1 1 2
Direct
0.000 0.000 0.000
0.750 0.750 0.750
0.250 0.250 0.250
0.500 0.500 0.500
```

The value obtained for the total DFT energy (no corrections) is -5.52 eV per atom.

| no. | M_tot (μB per atom) |
| --- | --- |
| 1 | 0.00 |
| 2 | 0.80 |
| 3 | 0.00 |
| 4 | 0.61 |
| 5 | 0.24 |
| 6 | 0.00 |
| 7 | 2.00 |
| 8 | 0.00 |
| 9 | 0.00 |
| 10 | 0.00 |
| 11 | 0.00 |
| 12 | 0.53 |
| 13 | 0.30 |
| 14 | 0.34 |
| 15 | 0.00 |
| 16 | 0.00 |
| 17 | 1.29 |
| 18 | 1.41 |
| 19 | 0.02 |
| 20 | 0.00 |
| 21 | 0.00 |
| 22 | 0.00 |
| 23 | 0.00 |
| 24 | 0.00 |
| 25 | 0.00 |
| 26 | 0.95 |
| 27 | 0.88 |